The following is a DFT calculation (PBE) of an optimized crystal structure of Pm2HoEr7.

a = 6.1164 Å, b = 7.0674 Å, c = 7.9120 Å
α = 77.07°, β = 75.01°, γ = 73.41°
Element x y z (fractional)
Pm  0.2014  0.2985  0.1013
Pm  0.7986  0.7015  0.8987
Ho  0.0000  0.5000  0.5000
Er  0.0000  0.0000  0.5000
Er  0.1993  0.8000  0.1011
Er  0.3995  0.1007  0.6981
Er  0.3996  0.6007  0.6986
Er  0.6004  0.3993  0.3014
Er  0.6005  0.8993  0.3019
Er  0.8007  0.2000  0.8989

Properties
- space-group type = P-1, No. 2
- excess energy over the best structure of this formula in the dataset (meV per atom) = 0
- D(E_F) (states/eV/f.u.) = 14.230


The following is a DFT calculation (PBE) of an optimized crystal structure of Pm2Ho5Er6.

a = 11.6058 Å, b = 20.0649 Å, c = 3.5572 Å
α = 90.00°, β = 90.00°, γ = 90.00°
Element x y z (fractional)
Pm  0.1672  0.2141  0.0000
Pm  0.3328  0.7141  0.0000
Pm  0.6672  0.2859  0.0000
Pm  0.8328  0.7859  0.0000
Ho  0.0000  0.5000  0.5000
Ho  0.0919  0.7763  0.5000
Ho  0.1994  0.0501  0.5000
Ho  0.3006  0.5501  0.5000
Ho  0.4081  0.2763  0.5000
Ho  0.5000  0.0000  0.5000
Ho  0.5919  0.7237  0.5000
Ho  0.6994  0.4499  0.5000
Ho  0.8006  0.9499  0.5000
Ho  0.9081  0.2237  0.5000
Er  0.0587  0.9211  0.0000
Er  0.0804  0.6330  0.0000
Er  0.1773  0.3710  0.5000
Er  0.3227  0.8710  0.5000
Er  0.4196  0.1330  0.0000
Er  0.4413  0.4211  0.0000
Er  0.5587  0.5789  0.0000
Er  0.5804  0.8670  0.0000
Er  0.6773  0.1290  0.5000
Er  0.8227  0.6290  0.5000
Er  0.9196  0.3670  0.0000
Er  0.9413  0.0789  0.0000

Properties
- space-group type = Pbam, No. 55
- total DFT energy (no corrections) (eV per atom) = -4.4970
- D(E_F) (states/eV/f.u.) = 16.211


The following is a DFT calculation (PBE) of an optimized crystal structure of PmHo5Er8.

a = 8.3647 Å, b = 8.3647 Å, c = 8.3647 Å
α = 111.35°, β = 111.35°, γ = 105.78°
Element x y z (fractional)
Pm  0.0000  0.0000  0.0000
Ho  0.0348  0.2113  0.5970
Ho  0.2500  0.7500  0.5000
Ho  0.5622  0.9652  0.1766
Ho  0.6143  0.4378  0.4030
Ho  0.7887  0.3857  0.8234
Er  0.0910  0.6739  0.7603
Er  0.2786  0.5263  0.1056
Er  0.3261  0.0864  0.4171
Er  0.4207  0.1730  0.8944
Er  0.4737  0.5793  0.7523
Er  0.6693  0.9090  0.5829
Er  0.8270  0.7214  0.2477
Er  0.9136  0.3307  0.2397

Properties
- space-group type = I-4, No. 82
- total DFT energy (no corrections) (eV per atom) = -4.3309
- D(E_F) (states/eV/f.u.) = 21.238


The following is a DFT calculation (PBE) of an optimized crystal structure of PmHo12Er6.

a = 9.2386 Å, b = 9.2386 Å, c = 9.2386 Å
α = 107.73°, β = 107.73°, γ = 107.73°
Element x y z (fractional)
Pm  0.0000  0.0000  0.0000
Ho  0.1109  0.5000  0.8891
Ho  0.1109  0.8891  0.5000
Ho  0.1448  0.3642  0.3642
Ho  0.3642  0.1448  0.3642
Ho  0.3642  0.3642  0.1448
Ho  0.5000  0.1109  0.8891
Ho  0.5000  0.8891  0.1109
Ho  0.6358  0.6358  0.8552
Ho  0.6358  0.8552  0.6358
Ho  0.8552  0.6358  0.6358
Ho  0.8891  0.1109  0.5000
Ho  0.8891  0.5000  0.1109
Er  0.2669  0.6868  0.6868
Er  0.3132  0.3132  0.7331
Er  0.3132  0.7331  0.3132
Er  0.6868  0.2669  0.6868
Er  0.6868  0.6868  0.2669
Er  0.7331  0.3132  0.3132

Properties
- space-group type = R-3m, No. 166
- excess energy over the best structure of this formula in the dataset (meV per atom) = 283
- D(E_F) (states/eV/f.u.) = 25.120


The following is a DFT calculation (PBE) of an optimized crystal structure of PmHo5Er7.

a = 8.6144 Å, b = 8.6144 Å, c = 8.6144 Å
α = 134.55°, β = 100.67°, γ = 96.50°
Element x y z (fractional)
Pm  0.0000  0.0000  0.0000
Ho  0.0292  0.0337  0.4614
Ho  0.0292  0.5678  0.9955
Ho  0.3033  0.8033  0.5000
Ho  0.5724  0.0337  0.0045
Ho  0.5724  0.5678  0.5386
Er  0.2210  0.5511  0.6698
Er  0.3042  0.3042  0.0000
Er  0.3820  0.0522  0.3298
Er  0.6102  0.6102  0.0000
Er  0.7224  0.0522  0.6702
Er  0.7997  0.2997  0.5000
Er  0.8813  0.5511  0.3302

Properties
- space-group type = Imm2, No. 44
- total DFT energy (no corrections) (eV per atom) = -4.3277
- D(E_F) (states/eV/f.u.) = 24.450


The following is a DFT calculation (PBE) of an optimized crystal structure of Pm5HoEr5.

a = 9.8870 Å, b = 9.8870 Å, c = 7.0127 Å
α = 110.60°, β = 110.60°, γ = 34.97°
Element x y z (fractional)
Pm  0.0000  0.0000  0.0000
Pm  0.3235  0.3235  0.0677
Pm  0.3236  0.3236  0.5783
Pm  0.6764  0.6764  0.4217
Pm  0.6765  0.6765  0.9323
Ho  0.5000  0.5000  0.0000
Er  0.1221  0.1221  0.6236
Er  0.1686  0.1686  0.1698
Er  0.5000  0.5000  0.5000
Er  0.8314  0.8314  0.8302
Er  0.8779  0.8779  0.3764

Properties
- space-group type = C2/m, No. 12
- total DFT energy (no corrections) (eV per atom) = -4.3823
- D(E_F) (states/eV/f.u.) = 18.690